(1)
LaZn2Hg | PBE | relaxed

energy relative to the elements = -0.185 eV per atom

Lattice parameters (Å, degrees): 3.532 3.532 7.246 90.00 90.00 90.00
Space group P4mm (No. 99)
Unique sites:
La  0.000  0.000  0.000 x1
Zn  0.000  0.000  0.460 x1
Zn  0.500  0.500  0.287 x1
Hg  0.500  0.500  0.693 x1

=====

(2)
LaZn2Hg2 | PBE | relaxed

energy relative to the lowest polymorph listed for this composition = 0 meV per atom
energy relative to the elements = -0.311 eV per atom

Lattice parameters (Å, degrees): 4.583 4.583 10.881 90.00 90.00 90.00
Space group I4/mmm (No. 139)
Unique sites:
La  0.000  0.000  0.000 x2
Zn  0.000  0.000  0.389 x4
Hg  0.000  0.500  0.250 x4

=====

(3)
La3Zn2Hg4 | PBE | relaxed

energy relative to the elements = -0.453 eV per atom

Lattice parameters (Å, degrees): 11.246 4.941 9.251 90.00 116.24 90.00
Space group C2/m (No. 12)
Unique sites:
La  0.000  0.000  0.000 x2
La  0.162  0.500  0.665 x4
Zn  0.114  0.500  0.283 x4
Hg  0.067  0.000  0.391 x4
Hg  0.213  0.500  0.058 x4

=====

(4)
LaZn2Hg2 | PBE | relaxed

energy relative to the lowest polymorph listed for this composition = 232 meV per atom
energy relative to the elements = -0.079 eV per atom

Lattice parameters (Å, degrees): 8.304 8.304 3.393 90.00 90.00 90.00
Space group P4/mbm (No. 127)
Unique sites:
La  0.000  0.000  0.000 x2
Zn  0.170  0.330  0.500 x4
Hg  0.128  0.628  0.000 x4

=====

(5)
LaZn2Hg | PBE | relaxed

energy relative to the elements = -0.379 eV per atom

Lattice parameters (Å, degrees): 4.859 10.867 6.735 90.00 90.00 90.00
Space group Cmcm (No. 63)
Unique sites:
La  0.000  0.104  0.250 x4
Zn  0.000  0.389  0.061 x8
Hg  0.000  0.201  0.750 x4

=====

(6)
La6ZnHg2 | PBE | relaxed

energy relative to the lowest polymorph listed for this composition = 0 meV per atom
energy relative to the elements = -0.272 eV per atom

Lattice parameters (Å, degrees): 9.1501 9.1501 3.8797 90.00 90.00 120.00
Space group P-62m (No. 189)
Unique sites:
La  0.0000  0.2621  0.0000 x3
La  0.0000  0.5987  0.5000 x3
Zn  0.0000  0.0000  0.5000 x1
Hg  0.3333  0.6667  0.0000 x2

=====

(7)
LaZn2Hg | PBE | relaxed

energy relative to the elements = -0.090 eV per atom

Lattice parameters (Å, degrees): 4.737 4.737 18.802 90.00 90.00 90.00
Space group I-42d (No. 122)
Unique sites:
La  0.000  0.000  0.000 x4
Zn  0.105  0.250  0.625 x8
Hg  0.000  0.000  0.500 x4

=====

(8)
LaZn2Hg | PBE | relaxed

energy relative to the elements = -0.340 eV per atom

Lattice parameters (Å, degrees): 7.055 4.723 10.780 90.00 90.00 90.00
Space group Amm2 (No. 38)
Unique sites:
La  0.000  0.000  0.000 x2
La  0.500  0.000  0.188 x2
Zn  0.000  0.000  0.309 x2
Zn  0.314  0.000  0.463 x4
Zn  0.500  0.000  0.896 x2
Hg  0.203  0.000  0.713 x4

=====

(9)
LaZn2Hg | PBE | relaxed

energy relative to the elements = -0.213 eV per atom

Lattice parameters (Å, degrees): 3.678 4.475 5.927 90.00 106.30 90.00
Space group Pm (No. 6)
Unique sites:
La  0.000  0.000  0.000 x1
Zn  0.614  0.500  0.237 x1
Zn  0.692  0.000  0.450 x1
Hg  0.316  0.500  0.650 x1

=====

(10)
La6Zn2Hg | PBE | relaxed

energy relative to the lowest polymorph listed for this composition = 0 meV per atom
energy relative to the elements = -0.236 eV per atom

Lattice parameters (Å, degrees): 5.459 12.494 16.362 90.00 90.00 90.00
Space group Fmmm (No. 69)
Unique sites:
La  0.000  0.145  0.169 x16
La  0.000  0.149  0.500 x8
Zn  0.000  0.000  0.334 x8
Hg  0.000  0.000  0.000 x4

=====

(11)
La2Zn2Hg3 | PBE | relaxed

energy relative to the elements = -0.341 eV per atom

Lattice parameters (Å, degrees): 4.605 20.629 7.452 90.00 90.00 90.00
Space group Cmcm (No. 63)
Unique sites:
La  0.000  0.055  0.250 x4
La  0.000  0.165  0.750 x4
Zn  0.000  0.311  0.566 x8
Hg  0.000  0.222  0.250 x4
Hg  0.000  0.434  0.059 x8

=====

(12)
LaZn2Hg2 | PBE | relaxed

energy relative to the lowest polymorph listed for this composition = 40 meV per atom
energy relative to the elements = -0.271 eV per atom

Lattice parameters (Å, degrees): 6.109 6.470 7.432 74.34 65.88 61.92
Space group P-1 (No. 2)
Unique sites:
La  0.145  0.250  0.250 x2
Zn  0.299  0.680  0.942 x2
Zn  0.424  0.820  0.557 x2
Hg  0.204  0.164  0.816 x2
Hg  0.315  0.664  0.316 x2

=====

(13)
La6ZnHg3 | PBE | relaxed

energy relative to the elements = -0.341 eV per atom

Lattice parameters (Å, degrees): 9.541 5.463 12.127 90.00 106.81 90.00
Space group P2_1/m (No. 11)
Unique sites:
La  0.009  0.250  0.407 x2
La  0.154  0.750  0.177 x2
La  0.266  0.250  0.005 x2
La  0.359  0.750  0.836 x2
La  0.382  0.250  0.354 x2
La  0.403  0.250  0.620 x2
Zn  0.452  0.750  0.111 x2
Hg  0.032  0.750  0.878 x2
Hg  0.130  0.250  0.725 x2
Hg  0.265  0.750  0.467 x2

=====

(14)
La4ZnHg | PBE | relaxed

energy relative to the lowest polymorph listed for this composition = 0 meV per atom
energy relative to the elements = -0.262 eV per atom

Lattice parameters (Å, degrees): 3.858 3.858 12.650 90.00 90.00 90.00
Space group P4/mmm (No. 123)
Unique sites:
La  0.000  0.000  0.140 x2
La  0.500  0.500  0.345 x2
Zn  0.500  0.500  0.000 x1
Hg  0.000  0.000  0.500 x1

=====

(15)
La4ZnHg2 | PBE | relaxed

energy relative to the lowest polymorph listed for this composition = 214 meV per atom
energy relative to the elements = -0.075 eV per atom

Lattice parameters (Å, degrees): 5.617 5.617 15.734 90.00 90.00 90.00
Space group I4/mmm (No. 139)
Unique sites:
La  0.000  0.000  0.192 x4
La  0.000  0.500  0.000 x4
Zn  0.000  0.000  0.000 x2
Hg  0.000  0.000  0.387 x4

=====

(16)
La2ZnHg3 | PBE | relaxed

energy relative to the elements = -0.462 eV per atom

Lattice parameters (Å, degrees): 7.282 9.916 17.257 90.00 90.00 90.00
Space group Fmmm (No. 69)
Unique sites:
La  0.241  0.000  0.000 x8
La  0.250  0.250  0.250 x8
Zn  0.000  0.000  0.333 x8
Hg  0.000  0.000  0.172 x8
Hg  0.000  0.240  0.414 x16

=====

(17)
La5Zn2Hg | PBE | relaxed

energy relative to the elements = -0.256 eV per atom

Lattice parameters (Å, degrees): 7.798 7.798 16.085 90.00 90.00 90.00
Space group I4/mcm (No. 140)
Unique sites:
La  0.000  0.000  0.000 x4
La  0.168  0.332  0.148 x16
Zn  0.118  0.382  0.500 x8
Hg  0.000  0.000  0.250 x4

=====

(18)
La12ZnHg6 | PBE | relaxed

energy relative to the elements = -0.241 eV per atom

Lattice parameters (Å, degrees): 11.8538 11.8538 14.4149 90.00 90.00 120.00
Space group R-3 (No. 148, hexagonal axes)
Unique sites:
La  0.0400  0.1947  0.3277 x18
La  0.0611  0.8491  0.9004 x18
Zn  0.0000  0.0000  0.5000 x3
Hg  0.0291  0.4379  0.2100 x18

=====

(19)
La2ZnHg8 | PBE | relaxed

energy relative to the elements = -0.288 eV per atom

Lattice parameters (Å, degrees): 4.774 4.774 12.655 90.00 90.00 90.00
Space group P4/mmm (No. 123)
Unique sites:
La  0.000  0.000  0.196 x2
Zn  0.000  0.000  0.500 x1
Hg  0.000  0.500  0.000 x2
Hg  0.000  0.500  0.375 x4
Hg  0.500  0.500  0.188 x2

=====

(20)
LaZn2Hg | PBE | relaxed

energy relative to the elements = -0.289 eV per atom

Lattice parameters (Å, degrees): 7.802 4.506 5.980 90.00 115.89 90.00
Space group Cm (No. 8)
Unique sites:
La  0.000  0.000  0.000 x2
Zn  0.033  0.500  0.601 x2
Zn  0.216  0.000  0.649 x2
Hg  0.286  0.500  0.356 x2

=====

Calculated electronic total energy in order - -2.1288, -1.9268, -2.5132, -1.6944, -2.3229, -3.7653, -2.0345, -2.2843, -2.1570, -3.8378, -2.2420, -1.8873, -3.5150, -3.8091, -3.1591, -2.4682, -3.6918, -3.5158, -1.5196, -2.2333 eV/atom